The following is a PBE with a Hubbard U calculation of NaHgW2O8 after structural relaxation, from the Alexandria database.

Results
Calculated volume = 16.11 Å³ per atom
DFT total energy = -6.029 eV/atom
Space group = I-4m2

Cell: 6.3102 6.3102 6.3102 Å, 108.64 108.64 111.14°
Closest atoms and distances in Å follow each position.
Fractional positions:
O1 0.4501 0.6498 0.8002  1 W 1.82
O2 0.8993 0.5993 0.7000  1 W 1.82
O3 0.8496 0.6498 0.1998  1 W 1.82
O4 0.4007 0.1007 0.3000  1 W 1.82
O5 0.8993 0.1993 0.3000  1 W 1.82
O6 0.8007 0.1007 0.7000  1 W 1.82
O7 0.3502 0.1504 0.8002  1 W 1.82
O8 0.3502 0.5499 0.1998  1 W 1.82
W1 0.5000 0.5000 0.0000  4 O 1.82
W2 0.7500 0.2500 0.5000  4 O 1.82
Hg1 0.2500 0.7500 0.5000  4 O 2.32
Na1 0.0000 0.0000 0.0000  4 O 2.32